1.
4
Lattice="-0.942 4.084 2.290 -2.636 -0.049 3.982 2.040 0.894 4.225" Properties=species:S:1:pos:R:3 comment="InP2Cl, optimized geometry, DFT PBE" dft_energy_ev_per_atom=-3.405 raw_formation_energy_ev_per_atom=0.446 de_polymorph_ev_per_atom=0.6964 density_g_cm3=4.6 n_ef_per_ev_atom=0.67 pbc="T T T"
P -0.385 1.232 2.624
Cl -0.769 2.464 5.249
P 0.000 0.000 0.000
In -1.154 3.697 7.873


2.
3
Lattice="4.849 0.001 -0.003 2.287 4.276 0.003 -3.039 -3.022 2.269" Properties=species:S:1:pos:R:3 comment="TaZnTc, optimized geometry, DFT PBE" dft_energy_ev_per_atom=-7.847 formation_energy_ev_per_atom=-0.02 de_polymorph_ev_per_atom=0.1417 density_g_cm3=12.1 n_ef_per_ev_atom=0.53 pbc="T T T"
Ta 0.007 0.004 0.000
Tc 2.352 1.409 0.000
Zn 4.778 2.863 0.000


3.
3
Lattice="-2.418 -4.233 -0.204 2.603 1.134 3.968 -2.467 1.350 1.233" Properties=species:S:1:pos:R:3 comment="AlInAs, optimized geometry, DFT PBE" dft_energy_ev_per_atom=-3.557 formation_energy_ev_per_atom=0.15 de_polymorph_ev_per_atom=0.3611 density_g_cm3=5.7 n_ef_per_ev_atom=0.44 pbc="T T T"
Al -0.413 0.226 0.206
As -1.158 -2.218 1.393
In -0.711 0.243 3.397


4.
10
Lattice="-1.945 0.287 4.060 -1.132 -5.121 -0.180 7.021 -1.675 3.483" Properties=species:S:1:pos:R:3 comment="Mg3GaIr, optimized geometry, DFT PBE" dft_energy_ev_per_atom=-3.633 formation_energy_ev_per_atom=-0.30 de_polymorph_ev_per_atom=0.0000 density_g_cm3=5.9 n_ef_per_ev_atom=0.69 pbc="T T T"
Mg 1.409 -1.573 4.546
Ir 3.797 -1.086 5.656
Ir 0.147 -5.422 1.707
Ga 3.202 -3.776 5.561
Mg 5.224 -5.576 4.151
Mg -1.280 -0.932 3.212
Mg 2.535 -4.935 2.817
Mg -0.537 -3.974 3.783
Mg 4.481 -2.534 3.580
Ga 0.742 -2.732 1.802


5.
4
Lattice="6.379 -0.002 0.000 3.162 5.540 0.000 -4.770 -2.769 3.204" Properties=species:S:1:pos:R:3 comment="LaAlTe2, optimized geometry, DFT PBE" dft_energy_ev_per_atom=-4.510 raw_formation_energy_ev_per_atom=-0.771 density_g_cm3=6.2 n_ef_per_ev_atom=0.23 pbc="T T T"
Te 1.581 2.770 1.602
Al 4.770 2.769 0.000
Te 0.000 0.000 0.000
La 3.189 -0.001 1.602


6.
20
Lattice="5.072 0.000 0.000 0.000 6.521 0.000 0.000 0.000 7.360" Properties=species:S:1:pos:R:3 comment="CdNi3N, optimized geometry, DFT PBE" dft_energy_ev_per_atom=-5.110 raw_formation_energy_ev_per_atom=0.207 de_polymorph_ev_per_atom=0.2715 density_g_cm3=8.3 n_ef_per_ev_atom=0.52 pbc="T T T"
Ni 0.001 6.090 6.263
Cd 2.536 3.260 0.000
Ni 2.537 3.691 4.778
Ni 5.071 0.430 1.098
Ni 5.071 2.830 1.098
Ni 1.268 1.630 5.520
Cd 0.000 0.000 3.680
N 0.001 1.630 6.947
Ni 3.804 4.891 1.841
Ni 0.001 3.691 6.263
N 5.071 4.891 0.413
Ni 3.804 1.630 5.521
Ni 2.535 0.430 2.583
Cd 2.536 0.000 0.000
Cd 0.000 3.260 3.680
Ni 2.537 6.090 4.778
N 2.537 1.630 4.093
Ni 2.535 2.830 2.583
Ni 1.268 4.891 1.840
N 2.535 4.891 3.267


7.
4
Lattice="3.661 0.000 0.000 1.830 3.170 0.000 1.830 1.057 11.374" Properties=species:S:1:pos:R:3 comment="AcTl2Ge, optimized geometry, DFT PBE" dft_energy_ev_per_atom=-3.135 formation_energy_ev_per_atom=0.23 de_polymorph_ev_per_atom=0.5304 density_g_cm3=8.9 n_ef_per_ev_atom=0.65 pbc="T T T"
Tl 5.491 3.170 3.403
Ge 3.661 2.114 5.687
Ac 0.000 0.000 0.000
Tl 1.830 1.057 7.971


8.
10
Lattice="2.924 6.323 3.155 7.301 -0.368 2.247 5.067 3.885 -4.208" Properties=species:S:1:pos:R:3 comment="La3BiIr, optimized geometry, DFT PBE" dft_energy_ev_per_atom=-6.213 formation_energy_ev_per_atom=-0.71 de_polymorph_ev_per_atom=0.1213 density_g_cm3=8.0 n_ef_per_ev_atom=1.68 pbc="T T T"
La 6.650 3.833 -1.883
La 5.051 5.925 1.357
Bi 11.411 7.343 0.890
La 10.129 3.844 -0.172
Ir 15.236 9.804 1.189
Ir 7.590 4.884 0.592
Bi 3.765 2.423 0.294
La 7.247 2.434 2.005
La 7.934 7.334 -0.820
La 8.531 5.935 3.067


9.
10
Lattice="-1.026 -3.143 -1.383 1.170 -2.643 9.793 -8.717 5.254 -0.816" Properties=species:S:1:pos:R:3 comment="DyTm7Th2, optimized geometry, DFT PBE" dft_energy_ev_per_atom=-4.731 formation_energy_ev_per_atom=0.34 density_g_cm3=8.9 n_ef_per_ev_atom=1.66 pbc="T T T"
Tm -7.940 0.820 4.054
Tm -5.376 2.586 2.769
Th -7.491 2.294 0.359
Th -1.083 -2.825 7.236
Tm -3.677 1.081 0.275
Tm -4.287 -0.266 3.797
Dy 0.000 0.000 0.000
Tm -4.897 -1.612 7.320
Tm -0.633 -1.351 3.541
Tm -3.197 -3.117 4.826


10.
5
Lattice="5.383 0.000 0.000 0.000 5.383 0.000 0.000 0.000 5.383" Properties=species:S:1:pos:R:3 comment="ZnIn3Au, optimized geometry, DFT PBE" dft_energy_ev_per_atom=-2.338 formation_energy_ev_per_atom=0.22 de_polymorph_ev_per_atom=0.0000 density_g_cm3=6.5 n_ef_per_ev_atom=0.63 pbc="T T T"
In 2.691 0.000 0.000
In 0.000 0.000 2.691
Au 0.000 0.000 0.000
In 0.000 2.691 0.000
Zn 2.691 2.691 2.691


11.
5
Lattice="-2.586 -4.412 -2.569 4.005 -1.154 -2.050 1.309 -3.356 4.447" Properties=species:S:1:pos:R:3 comment="Na2MnCoI, optimized geometry, DFT PBE" dft_energy_ev_per_atom=-3.346 raw_formation_energy_ev_per_atom=0.747 density_g_cm3=3.1 n_ef_per_ev_atom=0.71 pbc="T T T"
Na -1.293 -2.206 -1.284
Co 0.000 0.000 0.000
I 2.002 -0.577 -1.025
Mn 1.364 -4.461 -0.086
Na 0.655 -1.678 2.223


12.
10
Lattice="7.686 0.000 0.000 3.843 6.657 0.000 3.842 2.219 7.098" Properties=species:S:1:pos:R:3 comment="CsNa2HoBr6, optimized geometry, DFT PBE" dft_energy_ev_per_atom=-3.544 raw_formation_energy_ev_per_atom=-1.734 density_g_cm3=3.8 n_ef_per_ev_atom=0.00 pbc="T T T"
Br 10.313 4.283 1.590
Br 6.507 6.791 1.591
Br 8.162 6.529 5.376
Cs 11.529 6.658 4.377
Br 9.258 2.981 5.375
Na 7.685 4.438 3.107
Na 11.529 6.657 0.007
Br 5.637 3.805 5.375
Ho 3.843 2.219 0.112
Br 6.238 2.240 1.590